DFT (PBE-GGA) results for a relaxed structure of Nd2HgN.

Properties
- uncorrected formation energy (eV per atom) = -0.404
- polymorph energy (0 for the lowest one) (meV/atom) = 507

Cell and atoms, written as CIF:
```
data_Nd2HgN
_cell_length_a 3.2028
_cell_length_b 3.2028
_cell_length_c 8.2363
_cell_angle_alpha 90.00
_cell_angle_beta 90.00
_cell_angle_gamma 90.00
_symmetry_space_group_name_H-M 'P 1'
_symmetry_Int_Tables_number 1
loop_
_symmetry_equiv_pos_as_xyz
'x,y,z'
loop_
_atom_site_label
_atom_site_type_symbol
_atom_site_fract_x
_atom_site_fract_y
_atom_site_fract_z
Nd1 Nd 0.0000 0.0000 0.8193
Nd2 Nd 0.0000 0.0000 0.1807
Hg1 Hg 0.5000 0.5000 0.5000
N1 N 0.5000 0.5000 0.0000
```


DFT (PBE-GGA) results for a relaxed structure of Ba2ZnInPb6.

Properties
- ΔE_f (eV per atom) = -0.1557

Cell and atoms, written as CIF:
```
data_Ba2ZnInPb6
_cell_length_a 7.7375
_cell_length_b 7.7375
_cell_length_c 14.2923
_cell_angle_alpha 74.29
_cell_angle_beta 74.29
_cell_angle_gamma 60.00
_symmetry_space_group_name_H-M 'P 1'
_symmetry_Int_Tables_number 1
loop_
_symmetry_equiv_pos_as_xyz
'x,y,z'
loop_
_atom_site_label
_atom_site_type_symbol
_atom_site_fract_x
_atom_site_fract_y
_atom_site_fract_z
Ba1 Ba 0.8905 0.8905 0.3286
Ba2 Ba 0.1095 0.1095 0.6714
Ba3 Ba 0.7155 0.7155 0.8534
Ba4 Ba 0.2845 0.2845 0.1466
Zn1 Zn 0.0000 0.0000 0.0000
Zn2 Zn 0.5000 0.5000 0.5000
In1 In 0.5731 0.5731 0.2808
In2 In 0.4269 0.4269 0.7192
Pb1 Pb 0.9202 0.3352 0.4094
Pb2 Pb 0.3352 0.9202 0.4094
Pb3 Pb 0.3352 0.3352 0.4094
Pb4 Pb 0.0798 0.6648 0.5906
Pb5 Pb 0.6648 0.0798 0.5906
Pb6 Pb 0.6648 0.6648 0.5906
Pb7 Pb 0.6588 0.2194 0.9024
Pb8 Pb 0.2194 0.6588 0.9024
Pb9 Pb 0.2194 0.2194 0.9024
Pb10 Pb 0.3412 0.7806 0.0976
Pb11 Pb 0.7806 0.3412 0.0976
Pb12 Pb 0.7806 0.7806 0.0976
```


DFT (PBE-GGA) results for a relaxed structure of HfH2Br.

Properties
- polymorph energy (0 for the lowest one) (meV/atom) = 0

Cell and atoms, written as CIF:
```
data_HfH2Br
_cell_length_a 4.1018
_cell_length_b 4.1018
_cell_length_c 7.1020
_cell_angle_alpha 73.22
_cell_angle_beta 73.22
_cell_angle_gamma 90.00
_symmetry_space_group_name_H-M 'P 1'
_symmetry_Int_Tables_number 1
loop_
_symmetry_equiv_pos_as_xyz
'x,y,z'
loop_
_atom_site_label
_atom_site_type_symbol
_atom_site_fract_x
_atom_site_fract_y
_atom_site_fract_z
H1 H 0.8750 0.1250 0.2500
H2 H 0.8750 0.6250 0.2500
H3 H 0.3750 0.1250 0.7500
H4 H 0.8750 0.1250 0.7500
Hf1 Hf 0.0000 0.0000 0.0000
Hf2 Hf 0.7500 0.2500 0.5000
Br1 Br 0.5000 0.5000 0.0000
Br2 Br 0.2500 0.7500 0.5000
```


DFT (PBE-GGA) results for a relaxed structure of AcGdNiPt.

Properties
- ΔE_f (eV per atom) = -0.6051

Cell and atoms, written as CIF:
```
data_AcGdNiPt
_cell_length_a 5.1217
_cell_length_b 5.1217
_cell_length_c 5.1217
_cell_angle_alpha 60.00
_cell_angle_beta 60.00
_cell_angle_gamma 60.00
_symmetry_space_group_name_H-M 'P 1'
_symmetry_Int_Tables_number 1
loop_
_symmetry_equiv_pos_as_xyz
'x,y,z'
loop_
_atom_site_label
_atom_site_type_symbol
_atom_site_fract_x
_atom_site_fract_y
_atom_site_fract_z
Ni1 Ni 0.5000 0.5000 0.5000
Ac1 Ac 0.7500 0.7500 0.7500
Gd1 Gd 0.2500 0.2500 0.2500
Pt1 Pt 0.0000 0.0000 0.0000
```


DFT (PBE-GGA) results for a relaxed structure of PmErTmMg.

Properties
- polymorph energy (0 for the lowest one) (meV/atom) = 0
- ΔE_f (eV per atom) = -0.0226

Cell and atoms, written as CIF:
```
data_PmErTmMg
_cell_length_a 3.5639
_cell_length_b 3.5639
_cell_length_c 9.3544
_cell_angle_alpha 90.00
_cell_angle_beta 90.00
_cell_angle_gamma 90.00
_symmetry_space_group_name_H-M 'P 1'
_symmetry_Int_Tables_number 1
loop_
_symmetry_equiv_pos_as_xyz
'x,y,z'
loop_
_atom_site_label
_atom_site_type_symbol
_atom_site_fract_x
_atom_site_fract_y
_atom_site_fract_z
Pm1 Pm 0.0000 0.0000 0.0833
Er1 Er 0.5000 0.5000 0.8145
Tm1 Tm 0.0000 0.0000 0.5581
Mg1 Mg 0.5000 0.5000 0.3288
```


Number 1: density 9.89 Mg/m³, magnetization 0.00 μB per atom. Number 2: density 8.01 Mg/m³, magnetization 0.00 μB per atom. Number 3: density 7.93 Mg/m³, magnetization 0.00 μB per atom. Number 4: density 11.15 Mg/m³, magnetization 1.78 μB per atom. Number 5: density 7.06 Mg/m³, magnetization 0.00 μB per atom.